(1)
The following is a GGA-PBE calculation of a relaxed CuTe2SeN crystal, from Alexandria via LeMat-Bulk.

The value obtained for the magnetization is 1.3 Bohr magnetons per cell. The value obtained for the energy is -3.631 eV/atom. The calculation puts the polymorph energy (0 for the lowest one) at 0 meV/atom. The value obtained for the uncorrected formation energy is 806.5 meV/atom. The density of states at the Fermi level comes out at 2.9 states/eV/cell.

It has space group P4/mmm (No. 123), with a = 5.387 Å, b = 5.387 Å, c = 3.589 Å, α = 90.00°, β = 90.00° and γ = 90.00°. The asymmetric unit holds Cu at (0.000, 0.000, 0.000), Te at (0.000, 0.500, 0.000), Se at (0.500, 0.500, 0.500) and N at (0.000, 0.000, 0.500).



(2)
The following is a GGA-PBE calculation of a relaxed BaIr2RuSe crystal, from Alexandria via LeMat-Bulk.

The value obtained for the magnetization is 0.0 Bohr magnetons per cell. The value obtained for the energy is -5.593 eV/atom. The value obtained for the uncorrected formation energy is 888.4 meV/atom. The density of states at the Fermi level comes out at 6.3 states/eV/cell.

It has space group P4/mmm (No. 123), with a = 4.681 Å, b = 4.681 Å, c = 6.252 Å, α = 90.00°, β = 90.00° and γ = 90.00°. The asymmetric unit holds Ba at (0.000, 0.000, 0.000), Ir at (0.000, 0.500, 0.500), Ru at (0.000, 0.000, 0.500) and Se at (0.500, 0.500, 0.000).



(3)
The following is a GGA-PBE calculation of a relaxed Sm3Dy4Y3 crystal, from Alexandria via LeMat-Bulk.

The value obtained for the magnetization is 0.0 Bohr magnetons per cell. The value obtained for the energy is -5.114 eV/atom. The calculation puts the formation energy from the elements at 0.0820 eV per atom. The density of states at the Fermi level comes out at 16.7 states/eV/cell.

It has space group Amm2 (No. 38), with a = 3.703 Å, b = 13.295 Å, c = 13.342 Å, α = 90.00°, β = 90.00° and γ = 90.00°. The asymmetric unit holds Sm at (0.000, 0.000, 0.000), Sm at (0.000, 0.173, 0.672), Dy at (0.500, 0.000, 0.547), Dy at (0.500, 0.000, 0.799), Dy at (0.500, 0.126, 0.173), Y at (0.000, 0.000, 0.345) and Y at (0.500, 0.248, 0.421).



(4)
The following is a GGA-PBE calculation of a relaxed Cd2CuH crystal, from Alexandria via LeMat-Bulk.

The value obtained for the magnetization is 0.0 Bohr magnetons per cell. The value obtained for the energy is -1.828 eV/atom. The calculation puts the polymorph energy (0 for the lowest one) at 122 meV/atom. The density of states at the Fermi level comes out at 5.9 states/eV/cell.

It has space group Fm-3m (No. 225), with a = 6.330 Å, b = 6.330 Å, c = 6.330 Å, α = 90.00°, β = 90.00° and γ = 90.00°. The asymmetric unit holds Cd at (0.250, 0.250, 0.250), Cu at (0.000, 0.000, 0.000) and H at (0.000, 0.000, 0.500).



Q: Which of these has the highest energy?
A: Cd2CuH



Q: energy of number 3 (Sm3Dy4Y3)?
A: -5.114 eV/atom



Copy entry 2 word for word.
The following is a GGA-PBE calculation of a relaxed BaIr2RuSe crystal, from Alexandria via LeMat-Bulk.

The value obtained for the magnetization is 0.0 Bohr magnetons per cell. The value obtained for the energy is -5.593 eV/atom. The value obtained for the uncorrected formation energy is 888.4 meV/atom. The density of states at the Fermi level comes out at 6.3 states/eV/cell.

It has space group P4/mmm (No. 123), with a = 4.681 Å, b = 4.681 Å, c = 6.252 Å, α = 90.00°, β = 90.00° and γ = 90.00°. The asymmetric unit holds Ba at (0.000, 0.000, 0.000), Ir at (0.000, 0.500, 0.500), Ru at (0.000, 0.000, 0.500) and Se at (0.500, 0.500, 0.000).